This record from the Alexandria database describes SmMgHgBi after structural relaxation. The functional is GGA-PBE.

Values from the calculation:
Crystal system = cubic
Formation energy from the elements = -0.36 eV/atom
Symmetry = F-43m

Cell lengths 5.3493, 5.3493, 5.3493 Å; angles 60.00, 60.00, 60.00 degrees
With the nearest neighbours (Å) after each atom.
Sites, in units of the cell vectors:
Sm1 0.0000 0.0000 0.0000  4 Hg 3.28, 4 Bi 3.28
Mg1 0.5000 0.5000 0.5000  4 Hg 3.28, 4 Bi 3.28
Hg1 0.7500 0.7500 0.7500  4 Mg 3.28, 4 Sm 3.28
Bi1 0.2500 0.2500 0.2500  4 Mg 3.28, 4 Sm 3.28